The following is a DFT calculation (GGA+U) of a relaxed MoPdNO2 crystal.

Unit cell a=3.8715 b=3.8715 c=4.0806 alpha=90.00 beta=90.00 gamma=90.00
Fractional coordinates of all 5 atoms:
Mo  0.0000  0.0000  0.0000
O  0.5000  0.0000  0.0000
O  0.0000  0.5000  0.0000
Pd  0.5000  0.5000  0.5000
N  0.0000  0.0000  0.5000

D(E_F), states/eV per cell: 4.08
Total energy, eV per atom: -6.21